No. 1
VASP calculation (PBE) on a relaxed Tb2BiTe crystal.

Unit cell a=4.5716 b=18.9548 c=6.2335 alpha=90.00 beta=90.00 gamma=90.00
Closest atoms and distances in Å follow each position.
Atoms (fractional coordinates):
Tb1 0.0000 0.0852 0.2500  2 Bi 3.06, 3 Te 3.07-3.12
Tb2 0.0000 0.3083 0.2500  4 Bi 3.12-3.16, 2 Te 3.16
Tb3 0.0000 0.6918 0.7500  4 Bi 3.12-3.16, 2 Te 3.16
Tb4 0.0000 0.9148 0.7500  2 Bi 3.06, 3 Te 3.07-3.12
Tb5 0.5000 0.1918 0.7500  4 Bi 3.12-3.16, 2 Te 3.16
Tb6 0.5000 0.4148 0.7500  2 Bi 3.06, 3 Te 3.07-3.12
Tb7 0.5000 0.5852 0.2500  2 Bi 3.06, 3 Te 3.07-3.12
Tb8 0.5000 0.8082 0.2500  4 Bi 3.12-3.16, 2 Te 3.16
Bi1 0.0000 0.3071 0.7500  6 Tb 3.06-3.16
Bi2 0.0000 0.6929 0.2500  6 Tb 3.06-3.16
Bi3 0.5000 0.1929 0.2500  6 Tb 3.06-3.16
Bi4 0.5000 0.8071 0.7500  6 Tb 3.06-3.16
Te1 0.0000 0.0768 0.7500  5 Tb 3.07-3.16
Te2 0.0000 0.9232 0.2500  5 Tb 3.07-3.16
Te3 0.5000 0.4232 0.2500  5 Tb 3.07-3.16
Te4 0.5000 0.5768 0.7500  5 Tb 3.07-3.16

Calculated values
Its density is 8.0 g cm⁻³. The total magnetic moment comes out at 0.0 μB per formula unit. The value obtained for the total energy is -5.082 eV per atom. The symmetry is Cmcm, No. 63. For the density of states at the Fermi level, the calculation gives 9.0 states/eV/cell.

=====

No. 2
VASP calculation (PBE) on a relaxed Sn2RhSe crystal.

Unit cell a=6.2651 b=6.2651 c=12.0813 alpha=90.00 beta=90.00 gamma=90.00
Closest atoms and distances in Å follow each position.
Atoms (fractional coordinates):
Sn1 0.2109 0.2500 0.1250  2 Rh 2.55, 2 Se 2.83
Sn2 0.2500 0.7109 0.3750  2 Rh 2.55, 2 Se 2.83
Sn3 0.2500 0.7891 0.8750  2 Rh 2.55, 2 Se 2.83
Sn4 0.2891 0.2500 0.6250  2 Rh 2.55, 2 Se 2.83
Sn5 0.7109 0.7500 0.6250  2 Rh 2.55, 2 Se 2.83
Sn6 0.7500 0.2109 0.8750  2 Rh 2.55, 2 Se 2.83
Sn7 0.7500 0.2891 0.3750  2 Rh 2.55, 2 Se 2.83
Sn8 0.7891 0.7500 0.1250  2 Rh 2.55, 2 Se 2.83
Rh1 0.0000 0.0000 0.0000  4 Sn 2.55
Rh2 0.0000 0.5000 0.2500  4 Sn 2.55
Rh3 0.5000 0.0000 0.7500  4 Sn 2.55
Rh4 0.5000 0.5000 0.5000  4 Sn 2.55
Se1 0.0000 0.0000 0.5000  4 Sn 2.83
Se2 0.0000 0.5000 0.7500  4 Sn 2.83
Se3 0.5000 0.0000 0.2500  4 Sn 2.83
Se4 0.5000 0.5000 0.0000  4 Sn 2.83

Calculated values
Its density is 5.9 g cm⁻³. The total magnetic moment comes out at 0.0 μB per formula unit. The value obtained for the total energy is -4.805 eV per atom. The symmetry is I-42d, No. 122. For the density of states at the Fermi level, the calculation gives 13.0 states/eV/cell.

=====

No. 3
VASP calculation (PBE) on a relaxed Ac4Tl5Au2 crystal.

Unit cell a=8.3880 b=4.0653 c=10.4536 alpha=90.00 beta=95.06 gamma=90.00
Closest atoms and distances in Å follow each position.
Atoms (fractional coordinates):
Ac1 0.1914 0.0000 0.3601  2 Au 3.21, 2 Tl 3.51
Ac2 0.2345 0.0000 0.9313  4 Au 3.30-3.31, 6 Tl 3.55-3.69
Ac3 0.7655 0.0000 0.0687  4 Au 3.30-3.31, 6 Tl 3.55-3.69
Ac4 0.8086 0.0000 0.6399  2 Au 3.21, 2 Tl 3.51
Tl1 0.1655 0.5000 0.6431  1 Au 3.21, 2 Tl 3.29-3.50
Tl2 0.4600 0.5000 0.1801  1 Au 3.23, 2 Tl 3.33-3.50, 2 Ac 3.55
Tl3 0.5000 0.5000 0.5000  4 Tl 3.29-3.33, 4 Ac 3.51
Tl4 0.5400 0.5000 0.8199  1 Au 3.23, 2 Tl 3.33-3.50, 2 Ac 3.55
Tl5 0.8345 0.5000 0.3569  1 Au 3.21, 2 Tl 3.29-3.50
Au1 0.0737 0.5000 0.1330  1 Au 2.94, 2 Tl 3.21-3.23, 2 Ac 3.21
Au2 0.9263 0.5000 0.8670  1 Au 2.94, 2 Tl 3.21-3.23, 2 Ac 3.21

Calculated values
Its density is 10.9 g cm⁻³. The total magnetic moment comes out at 0.0 μB per formula unit. The symmetry is P2/m, No. 10. For the density of states at the Fermi level, the calculation gives 8.6 states/eV/cell. Its energy of formation from the pure elements is -0.467 eV per atom.

=====

No. 4
VASP calculation (PBE) on a relaxed Li2Mg6Cd3 crystal.

Unit cell a=5.0736 b=5.7152 c=8.6375 alpha=88.10 beta=88.66 gamma=67.46
Closest atoms and distances in Å follow each position.
Atoms (fractional coordinates):
Li1 0.0945 0.2998 0.1250  3 Cd 2.91-2.95, 5 Mg 2.95-3.11, 1 Li 2.98
Li2 0.9055 0.7002 0.8750  3 Cd 2.91-2.95, 5 Mg 2.95-3.11, 1 Li 2.98
Mg1 0.1686 0.1558 0.7786  4 Cd 2.98-3.02, 2 Li 3.01-3.11, 3 Mg 3.06-3.10
Mg2 0.2666 0.9684 0.4051  1 Cd 2.95, 1 Li 2.95, 6 Mg 3.04-3.10
Mg3 0.4526 0.5935 0.6866  4 Cd 3.00-3.23, 2 Li 3.05-3.10, 3 Mg 3.09-3.10
Mg4 0.5474 0.4065 0.3134  4 Cd 3.00-3.23, 2 Li 3.05-3.10, 3 Mg 3.09-3.10
Mg5 0.7334 0.0316 0.5949  1 Cd 2.95, 1 Li 2.95, 6 Mg 3.04-3.10
Mg6 0.8314 0.8442 0.2214  4 Cd 2.98-3.02, 2 Li 3.01-3.11, 3 Mg 3.06-3.10
Cd1 0.0000 0.5000 0.5000  8 Mg 2.95-3.05
Cd2 0.3704 0.7711 0.0418  3 Li 2.91-2.95, 1 Cd 2.97, 5 Mg 3.00-3.23
Cd3 0.6296 0.2289 0.9582  3 Li 2.91-2.95, 1 Cd 2.97, 5 Mg 3.00-3.23

Calculated values
Its density is 3.6 g cm⁻³. The total magnetic moment comes out at 0.0 μB per formula unit. The symmetry is P-1, No. 2. For the density of states at the Fermi level, the calculation gives 2.8 states/eV/cell. Its energy of formation from the pure elements is -0.111 eV per atom.

=====

No. 5
VASP calculation (PBE) on a relaxed Si2AgBAu crystal.

Unit cell a=4.7145 b=4.7145 c=5.1454 alpha=90.00 beta=90.00 gamma=90.00
Closest atoms and distances in Å follow each position.
Atoms (fractional coordinates):
Si1 0.0000 0.5000 0.0000  2 Ag 2.36
Si2 0.5000 0.0000 0.0000  2 Ag 2.36
Ag1 0.0000 0.0000 0.0000  4 Si 2.36, 2 Au 2.57
B1 0.5000 0.5000 0.5000  4 Au 3.33, 8 Si 3.49
Au1 0.0000 0.0000 0.5000  2 Ag 2.57

Calculated values
Its density is 5.4 g cm⁻³. The total magnetic moment comes out at 0.0 μB per formula unit. The value obtained for the total energy is -2.975 eV per atom. The symmetry is P4/mmm, No. 123. For the density of states at the Fermi level, the calculation gives 2.8 states/eV/cell.

=====

No. 6
VASP calculation (PBE) on a relaxed Pm4ErMg3 crystal.

Unit cell a=3.8370 b=5.5613 c=11.1902 alpha=90.00 beta=90.00 gamma=90.00
Closest atoms and distances in Å follow each position.
Atoms (fractional coordinates):
Pm1 0.0000 0.0000 0.0000  8 Mg 3.38-3.39
Pm2 0.0000 0.0000 0.5000  4 Er 3.38, 4 Mg 3.39
Pm3 0.0000 0.5000 0.2405  6 Mg 3.30-3.38, 2 Er 3.48
Pm4 0.0000 0.5000 0.7595  6 Mg 3.30-3.38, 2 Er 3.48
Er1 0.5000 0.5000 0.5000  8 Pm 3.38-3.48
Mg1 0.5000 0.0000 0.2500  8 Pm 3.38-3.39
Mg2 0.5000 0.0000 0.7500  8 Pm 3.38-3.39
Mg3 0.5000 0.5000 0.0000  8 Pm 3.30-3.38

Calculated values
Its density is 5.7 g cm⁻³. The total magnetic moment comes out at 0.0 μB per formula unit. The symmetry is Pmmm, No. 47. For the density of states at the Fermi level, the calculation gives 10.3 states/eV/cell. Its energy of formation from the pure elements is -0.039 eV per atom.

=====

No. 7
VASP calculation (PBE) on a relaxed Mg2BAuBr crystal.

Unit cell a=5.2884 b=5.2884 c=4.0557 alpha=90.00 beta=90.00 gamma=90.00
Closest atoms and distances in Å follow each position.
Atoms (fractional coordinates):
Mg1 0.0000 0.5000 0.0000  2 Au 2.64
Mg2 0.5000 0.0000 0.0000  2 Au 2.64
B1 0.0000 0.0000 0.5000  2 Au 2.03
Au1 0.0000 0.0000 0.0000  2 B 2.03
Br1 0.5000 0.5000 0.5000  8 Mg 3.33

Calculated values
Its density is 4.9 g cm⁻³. The total magnetic moment comes out at 0.0 μB per formula unit. The value obtained for the total energy is -3.019 eV per atom. The symmetry is P4/mmm, No. 123. For the density of states at the Fermi level, the calculation gives 2.9 states/eV/cell.

=====

No. 8
VASP calculation (PBE) on a relaxed AlRe3Mo crystal.

Unit cell a=4.6909 b=4.6909 c=4.6909 alpha=90.00 beta=90.00 gamma=90.00
Closest atoms and distances in Å follow each position.
Atoms (fractional coordinates):
Al1 0.0000 0.0000 0.0000  12 Re 3.32
Re1 0.0000 0.5000 0.5000  2 Mo 2.35
Re2 0.5000 0.0000 0.5000  2 Mo 2.35
Re3 0.5000 0.5000 0.0000  2 Mo 2.35
Mo1 0.5000 0.5000 0.5000  6 Re 2.35

Calculated values
Its density is 11.0 g cm⁻³. The total magnetic moment comes out at 1.2 μB per formula unit. The symmetry is Pm-3m, No. 221. For the density of states at the Fermi level, the calculation gives 6.0 states/eV/cell. Its energy of formation from the pure elements is 2.149 eV per atom.

=====

No. 9
VASP calculation (PBE) on a relaxed CaLa2AuC crystal.

Unit cell a=5.1520 b=5.1520 c=4.9798 alpha=90.00 beta=90.00 gamma=90.00
Closest atoms and distances in Å follow each position.
Atoms (fractional coordinates):
Ca1 0.0000 0.0000 0.0000  2 C 2.49
La1 0.0000 0.5000 0.5000  2 C 2.58
La2 0.5000 0.0000 0.5000  2 C 2.58
Au1 0.5000 0.5000 0.0000  8 La 3.58, 4 Ca 3.64
C1 0.0000 0.0000 0.5000  2 Ca 2.49, 4 La 2.58

Calculated values
Its density is 6.6 g cm⁻³. The total magnetic moment comes out at 0.0 μB per formula unit. The symmetry is P4/mmm, No. 123. For the density of states at the Fermi level, the calculation gives 6.5 states/eV/cell. Its energy of formation from the pure elements is -0.213 eV per atom.

=====

No. 10
VASP calculation (PBE) on a relaxed Li5LaCd4 crystal.

Unit cell a=3.4176 b=3.4176 c=17.4413 alpha=90.00 beta=90.00 gamma=90.00
Closest atoms and distances in Å follow each position.
Atoms (fractional coordinates):
Li1 0.0000 0.0000 0.0000  8 Cd 2.91, 2 Li 3.18
Li2 0.0000 0.0000 0.1822  8 Cd 2.88-2.92, 2 Li 3.09-3.18
Li3 0.0000 0.0000 0.3592  4 Cd 2.82, 1 Li 3.09
Li4 0.0000 0.0000 0.6408  4 Cd 2.82, 1 Li 3.09
Li5 0.0000 0.0000 0.8178  8 Cd 2.88-2.92, 2 Li 3.09-3.18
La1 0.5000 0.5000 0.5000  4 La 3.42, 8 Li 3.44
Cd1 0.5000 0.5000 0.0928  8 Li 2.88-2.91, 1 Cd 3.20
Cd2 0.5000 0.5000 0.2760  8 Li 2.82-2.92
Cd3 0.5000 0.5000 0.7240  8 Li 2.82-2.92
Cd4 0.5000 0.5000 0.9072  8 Li 2.88-2.91, 1 Cd 3.20

Calculated values
Its density is 5.1 g cm⁻³. The total magnetic moment comes out at 0.2 μB per formula unit. The symmetry is P4/mmm, No. 123. For the density of states at the Fermi level, the calculation gives 5.2 states/eV/cell. Its energy of formation from the pure elements is -0.178 eV per atom.

=====

No. 11
VASP calculation (PBE) on a relaxed Ba3LaAg crystal.

Unit cell a=6.4519 b=6.4519 c=6.4519 alpha=90.00 beta=90.00 gamma=90.00
Closest atoms and distances in Å follow each position.
Atoms (fractional coordinates):
Ba1 0.0000 0.0000 0.5000  2 Ag 3.23
Ba2 0.0000 0.5000 0.0000  2 Ag 3.23
Ba3 0.5000 0.0000 0.0000  2 Ag 3.23
La1 0.5000 0.5000 0.5000  12 Ba 4.56
Ag1 0.0000 0.0000 0.0000  6 Ba 3.23

Calculated values
Its density is 4.1 g cm⁻³. The total magnetic moment comes out at 1.2 μB per formula unit. The symmetry is Pm-3m, No. 221. For the density of states at the Fermi level, the calculation gives 7.6 states/eV/cell. Its energy of formation from the pure elements is 0.182 eV per atom.

=====

No. 12
VASP calculation (PBE) on a relaxed NdPaGa4 crystal.

Unit cell a=5.5770 b=5.5770 c=5.5770 alpha=60.00 beta=60.00 gamma=60.00
Closest atoms and distances in Å follow each position.
Atoms (fractional coordinates):
Nd1 0.0000 0.0000 0.0000  12 Ga 3.27, 4 Pa 3.42
Pa1 0.7500 0.7500 0.7500  12 Ga 3.27, 4 Nd 3.42
Ga1 0.3758 0.3758 0.3758  6 Ga 2.77-2.81
Ga2 0.3758 0.3758 0.8725  6 Ga 2.77-2.81
Ga3 0.3758 0.8725 0.3758  6 Ga 2.77-2.81
Ga4 0.8725 0.3758 0.3758  6 Ga 2.77-2.81

Calculated values
Its density is 8.9 g cm⁻³. The total magnetic moment comes out at 0.3 μB per formula unit. The symmetry is F-43m, No. 216. For the density of states at the Fermi level, the calculation gives 5.4 states/eV/cell. Its energy of formation from the pure elements is -0.359 eV per atom.